Material: LuScInNi
Method: DFT, PBE-GGA
State: optimized geometry

The space-group type is F-43m (216). As for the total energy: -20.7 eV/cell.

The structure in POSCAR format:
```
LuScInNi
1.0
0.000 3.460 3.460
3.460 0.000 3.460
3.460 3.460 0.000
Lu Sc In Ni
1 1 1 1
direct
0.000 0.000 0.000
0.500 0.500 0.500
0.250 0.250 0.250
0.750 0.750 0.750
```


Material: PrTmIn
Method: DFT, PBE-GGA
State: optimized geometry

For the offset from the most stable computed form, the calculation gives 43 meV per atom. The space-group type is I4mm (107).

The structure in POSCAR format:
```
PrTmIn
1.0
-1.803 1.803 6.906
1.803 -1.803 6.906
1.803 1.803 -6.906
Pr Tm In
1 1 1
direct
0.000 0.000 0.000
0.691 0.691 0.000
0.336 0.336 0.000
```